Here is crystalline CeCd3Pd12 at its relaxed geometry from Alexandria via LeMat-Bulk. Energies are from PBE-GGA.

Computed properties:
magnetic moment	0.0	Bohr magnetons per cell
Fermi-level density of states	1.103	states/eV/atom
energy relative to the elements	-0.3931	eV per atom

Cell and atoms, written as extended XYZ:
```
16
Lattice="4.0951 0.0000 0.0000 0.0000 4.0951 0.0000 0.0000 0.0000 16.0210" Properties=species:S:1:pos:R:3 pbc="T T T"
Pd 2.0475 2.0475 8.0105
Pd 0.0000 2.0475 13.9678
Cd 0.0000 0.0000 11.9337
Pd 0.0000 2.0475 2.0532
Pd 0.0000 2.0475 6.0503
Pd 2.0475 0.0000 6.0503
Pd 2.0475 0.0000 2.0532
Cd 0.0000 0.0000 4.0873
Pd 2.0475 0.0000 9.9707
Cd 0.0000 0.0000 8.0105
Pd 2.0475 2.0475 4.0551
Pd 2.0475 0.0000 13.9678
Pd 2.0475 2.0475 11.9659
Pd 2.0475 2.0475 0.0000
Ce 0.0000 0.0000 0.0000
Pd 0.0000 2.0475 9.9707
```